The following is a DFT calculation (PBE with a Hubbard U) of a geometry-optimized CsMnPO2 structure.

Properties
VASP energy, eV per atom: -4.946

Lattice parameters (Å, degrees): 4.123 4.123 4.983 90.00 90.00 90.00
Element x y z (fractional)
Cs (0.000, 0.000, 0.000)
Mn (0.500, 0.500, 0.500)
P (0.500, 0.500, 0.000)
O (0.000, 0.500, 0.500)
O (0.500, 0.000, 0.500)

The following is a DFT calculation (PBE with a Hubbard U) of a geometry-optimized CsMnPO4 structure.

Properties
VASP energy, eV per atom: -6.942

Lattice parameters (Å, degrees): 5.290 5.797 8.274 90.00 102.61 90.00
Element x y z (fractional)
Cs (0.236, 0.250, 0.129)
Cs (0.764, 0.750, 0.871)
Mn (0.168, 0.750, 0.503)
Mn (0.832, 0.250, 0.497)
P (0.341, 0.250, 0.686)
P (0.659, 0.750, 0.314)
O (0.148, 0.036, 0.667)
O (0.148, 0.464, 0.667)
O (0.461, 0.750, 0.151)
O (0.465, 0.250, 0.532)
O (0.535, 0.750, 0.468)
O (0.539, 0.250, 0.849)
O (0.852, 0.536, 0.333)
O (0.852, 0.964, 0.333)